(1)
DFT (GGA-PBEsol) results for LiPm2Al after structural relaxation.

* volume: 99.39 Å³ per cell
* uncorrected energy: -4.26 eV per atom
* DOS(E_F): 0.8963 states/eV/atom
* symmetry: Fm-3m, No. 225

a = 5.199 Å, b = 5.199 Å, c = 5.199 Å
α = 60.00°, β = 60.00°, γ = 60.00°
Atoms (fractional coordinates):
1 Pm 0.750 0.750 0.750
2 Pm 0.250 0.250 0.250
3 Li 0.000 0.000 0.000
4 Al 0.500 0.500 0.500

(2)
DFT (GGA-PBEsol) results for Li2PmAl after structural relaxation.

* volume: 77.06 Å³ per cell
* uncorrected energy: -3.47 eV per atom
* DOS(E_F): 0.2712 states/eV/atom
* symmetry: Fm-3m, No. 225

a = 4.776 Å, b = 4.776 Å, c = 4.776 Å
α = 60.00°, β = 60.00°, γ = 60.00°
Atoms (fractional coordinates):
1 Li 0.250 0.250 0.250
2 Li 0.750 0.750 0.750
3 Pm 0.000 0.000 0.000
4 Al 0.500 0.500 0.500

(3)
DFT (GGA-PBEsol) results for LiPr2Al after structural relaxation.

* volume: 103.48 Å³ per cell
* uncorrected energy: -4.28 eV per atom
* DOS(E_F): 0.8679 states/eV/atom
* symmetry: Fm-3m, No. 225

a = 5.270 Å, b = 5.270 Å, c = 5.270 Å
α = 60.00°, β = 60.00°, γ = 60.00°
Atoms (fractional coordinates):
1 Al 0.500 0.500 0.500
2 Li 0.000 0.000 0.000
3 Pr 0.250 0.250 0.250
4 Pr 0.750 0.750 0.750

(4)
DFT (GGA-PBEsol) results for Li2PrAl after structural relaxation.

* volume: 79.52 Å³ per cell
* uncorrected energy: -3.48 eV per atom
* DOS(E_F): 0.2559 states/eV/atom
* symmetry: Fm-3m, No. 225

a = 4.827 Å, b = 4.827 Å, c = 4.827 Å
α = 60.00°, β = 60.00°, γ = 60.00°
Atoms (fractional coordinates):
1 Al 0.500 0.500 0.500
2 Li 0.750 0.750 0.750
3 Li 0.250 0.250 0.250
4 Pr 0.000 0.000 0.000

(5)
DFT (GGA-PBEsol) results for Li4AlPt after structural relaxation.

* volume: 76.17 Å³ per cell
* uncorrected energy: -3.38 eV per atom
* DOS(E_F): 0.2779 states/eV/atom
* symmetry: F-43m, No. 216

a = 4.758 Å, b = 4.758 Å, c = 4.758 Å
α = 60.00°, β = 60.00°, γ = 60.00°
Atoms (fractional coordinates):
1 Pt 0.750 0.750 0.750
2 Li 0.377 0.377 0.869
3 Li 0.377 0.377 0.377
4 Li 0.869 0.377 0.377
5 Li 0.377 0.869 0.377
6 Al 0.000 0.000 0.000

(6)
DFT (GGA-PBEsol) results for Li2AlPt after structural relaxation.

* volume: 53.81 Å³ per cell
* uncorrected energy: -4.42 eV per atom
* DOS(E_F): 0.3345 states/eV/atom
* symmetry: F-43m, No. 216

a = 4.238 Å, b = 4.238 Å, c = 4.238 Å
α = 60.00°, β = 60.00°, γ = 60.00°
Atoms (fractional coordinates):
1 Li 0.750 0.750 0.750
2 Li 0.500 0.500 0.500
3 Pt 0.250 0.250 0.250
4 Al 0.000 0.000 0.000

(7)
DFT (GGA-PBEsol) results for Li2AlPt2 after structural relaxation.

* volume: 66.83 Å³ per cell
* uncorrected energy: -4.86 eV per atom
* DOS(E_F): 0.3127 states/eV/atom
* symmetry: I4/mmm, No. 139

a = 3.066 Å, b = 3.066 Å, c = 7.431 Å
α = 101.91°, β = 101.91°, γ = 90.00°
Atoms (fractional coordinates):
1 Li 0.250 0.750 0.500
2 Li 0.750 0.250 0.500
3 Al 0.000 0.000 0.000
4 Pt 0.602 0.602 0.204
5 Pt 0.398 0.398 0.796

(8)
DFT (GGA-PBEsol) results for LiAlPt2 after structural relaxation.

* volume: 121.33 Å³ per cell
* uncorrected energy: -5.42 eV per atom
* DOS(E_F): 0.2965 states/eV/atom
* symmetry: I-42d, No. 122

a = 5.430 Å, b = 5.451 Å, c = 5.451 Å
α = 75.64°, β = 60.13°, γ = 60.13°
Atoms (fractional coordinates):
1 Pt 0.638 0.487 0.987
2 Pt 0.112 0.513 0.013
3 Pt 0.375 0.987 0.513
4 Pt 0.875 0.013 0.487
5 Li 0.500 0.000 0.000
6 Li 0.250 0.500 0.500
7 Al 0.750 0.500 0.500
8 Al 0.000 0.000 0.000

(9)
DFT (GGA-PBEsol) results for Li2AlPt after structural relaxation.

* volume: 55.24 Å³ per cell
* uncorrected energy: -4.12 eV per atom
* DOS(E_F): 0.3612 states/eV/atom
* symmetry: P4/mmm, No. 123

a = 3.266 Å, b = 3.266 Å, c = 5.179 Å
α = 90.00°, β = 90.00°, γ = 90.00°
Atoms (fractional coordinates):
1 Pt 0.500 0.500 0.000
2 Li 0.000 0.000 0.223
3 Li 0.000 0.000 0.777
4 Al 0.500 0.500 0.500

(10)
DFT (GGA-PBEsol) results for LiAlPt2 after structural relaxation.

* volume: 53.31 Å³ per cell
* uncorrected energy: -5.89 eV per atom
* DOS(E_F): 0.2220 states/eV/atom
* symmetry: Cmmm, No. 65

a = 2.859 Å, b = 4.338 Å, c = 4.338 Å
α = 97.73°, β = 90.00°, γ = 90.00°
Atoms (fractional coordinates):
1 Pt 0.000 0.000 0.500
2 Pt 0.000 0.500 0.000
3 Al 0.500 0.500 0.500
4 Li 0.500 0.000 0.000

(11)
DFT (GGA-PBEsol) results for LiAlPt2 after structural relaxation.

* volume: 53.06 Å³ per cell
* uncorrected energy: -5.88 eV per atom
* DOS(E_F): 0.2004 states/eV/atom
* symmetry: Pmmm, No. 47

a = 2.851 Å, b = 3.285 Å, c = 5.665 Å
α = 90.00°, β = 90.00°, γ = 90.00°
Atoms (fractional coordinates):
1 Li 0.500 0.500 0.500
2 Pt 0.000 0.000 0.748
3 Pt 0.000 0.000 0.252
4 Al 0.500 0.500 0.000

(12)
DFT (GGA-PBEsol) results for LiAlPt2 after structural relaxation.

* volume: 52.53 Å³ per cell
* uncorrected energy: -5.92 eV per atom
* DOS(E_F): 0.3987 states/eV/atom
* symmetry: Fm-3m, No. 225

a = 4.204 Å, b = 4.204 Å, c = 4.204 Å
α = 60.00°, β = 60.00°, γ = 60.00°
Atoms (fractional coordinates):
1 Pt 0.250 0.250 0.250
2 Pt 0.750 0.750 0.750
3 Li 0.500 0.500 0.500
4 Al 0.000 0.000 0.000